[1]
Computed, not measured: crystalline ZrSbPb2 at its relaxed geometry at the PBEsol level of DFT.

Lattice parameters (Å, degrees): 6.132 6.132 6.132 138.12 138.12 60.72
Atoms (fractional coordinates):
1 Zr 0.000 0.000 0.000
2 Sb 0.500 0.500 0.000
3 Pb 0.250 0.750 0.500
4 Pb 0.750 0.250 0.500

Values from the calculation:
**Energy relative to the elements, uncorrected**: -0.249 eV/f.u.
**Magnetic moment**: 0.000 Bohr magnetons per cell



[2]
Computed, not measured: crystalline ZrSb2Pb at its relaxed geometry at the PBEsol level of DFT.

Lattice parameters (Å, degrees): 5.637 5.637 5.743 100.25 100.25 33.69
Atoms (fractional coordinates):
1 Zr 0.000 0.000 0.000
2 Sb 0.268 0.268 0.783
3 Sb 0.732 0.732 0.217
4 Pb 0.500 0.500 0.500

Values from the calculation:
**Energy relative to the elements, uncorrected**: -0.571 eV/f.u.
**Magnetic moment**: 0.000 Bohr magnetons per cell



[3]
Computed, not measured: crystalline ZrSbPb2 at its relaxed geometry at the PBEsol level of DFT.

Lattice parameters (Å, degrees): 5.698 5.698 3.278 90.00 90.00 109.05
Atoms (fractional coordinates):
1 Zr 0.000 0.000 0.000
2 Sb 0.500 0.500 0.000
3 Pb 0.000 0.500 0.500
4 Pb 0.500 0.000 0.500

Values from the calculation:
**Energy relative to the elements, uncorrected**: -0.009 eV/f.u.
**Magnetic moment**: 0.000 Bohr magnetons per cell



[4]
Computed, not measured: crystalline ZrSb2Pb at its relaxed geometry at the PBEsol level of DFT.

Lattice parameters (Å, degrees): 10.864 10.864 10.864 17.45 17.45 17.45
Atoms (fractional coordinates):
1 Zr 0.000 0.000 0.000
2 Sb 0.260 0.260 0.260
3 Sb 0.502 0.502 0.502
4 Pb 0.746 0.746 0.746

Values from the calculation:
**Energy relative to the elements, uncorrected**: -0.119 eV/f.u.
**Magnetic moment**: 0.000 Bohr magnetons per cell



[5]
Computed, not measured: crystalline ZrSbPb3 at its relaxed geometry at the PBEsol level of DFT.

Lattice parameters (Å, degrees): 5.576 5.576 5.576 90.00 90.00 90.00
Atoms (fractional coordinates):
1 Zr 0.000 0.000 0.000
2 Sb 0.500 0.500 0.500
3 Pb 0.000 0.000 0.500
4 Pb 0.000 0.500 0.000
5 Pb 0.500 0.000 0.000

Values from the calculation:
**Energy relative to the elements, uncorrected**: 2.887 eV/f.u.
**Magnetic moment**: 0.000 Bohr magnetons per cell



[6]
Computed, not measured: crystalline ZrSbPb2 at its relaxed geometry at the PBEsol level of DFT.

Lattice parameters (Å, degrees): 5.268 5.268 5.268 60.00 60.00 60.00
Atoms (fractional coordinates):
1 Zr 0.000 0.000 0.000
2 Sb 0.250 0.250 0.250
3 Pb 0.500 0.500 0.500
4 Pb 0.750 0.750 0.750

Values from the calculation:
**Energy relative to the elements, uncorrected**: 0.464 eV/f.u.
**Magnetic moment**: 0.001 Bohr magnetons per cell



[7]
Computed, not measured: crystalline Sc6Pb5 at its relaxed geometry at the PBEsol level of DFT.

Lattice parameters (Å, degrees): 10.982 10.982 10.982 132.29 58.82 147.66
Atoms (fractional coordinates):
1 Sc 0.055 0.250 0.805
2 Sc 0.061 0.236 0.297
3 Sc 0.143 0.611 0.754
4 Sc 0.357 0.111 0.469
5 Sc 0.439 0.736 0.174
6 Sc 0.445 0.250 0.195
7 Sc 0.555 0.750 0.805
8 Sc 0.561 0.264 0.826
9 Sc 0.643 0.889 0.531
10 Sc 0.857 0.389 0.246
11 Sc 0.939 0.764 0.703
12 Sc 0.945 0.750 0.195
13 Pb 0.074 0.899 0.973
14 Pb 0.207 0.302 0.510
15 Pb 0.250 0.750 0.500
16 Pb 0.293 0.802 0.095
17 Pb 0.426 0.399 0.825
18 Pb 0.574 0.601 0.175
19 Pb 0.707 0.198 0.905
20 Pb 0.750 0.250 0.500
21 Pb 0.793 0.698 0.490
22 Pb 0.926 0.101 0.027

Values from the calculation:
**Magnetic moment**: 0.000 Bohr magnetons per cell
**Calculated formation energy**: -535 kJ/mol of formula units



[8]
Computed, not measured: crystalline ScPb5 at its relaxed geometry at the PBEsol level of DFT.

Lattice parameters (Å, degrees): 5.424 8.854 8.854 22.85 90.00 90.00
Atoms (fractional coordinates):
1 Sc 0.000 0.000 0.000
2 Pb 0.000 0.343 0.343
3 Pb 0.000 0.660 0.660
4 Pb 0.500 0.213 0.213
5 Pb 0.500 0.536 0.536
6 Pb 0.500 0.879 0.879

Values from the calculation:
**Offset from the most stable computed form**: 5 meV per atom
**Magnetic moment**: 0.000 Bohr magnetons per cell
**Calculated formation energy**: -40 kJ/mol of formula units